1.
First-principles (GGA-PBE) data for an optimized crystal structure of HfFe4P2, as listed in Alexandria via LeMat-Bulk.

a b c (Å): 3.6215 6.8437 6.8437
angles (deg): 90.00 90.00 90.00
Last column: magnetic moment on the atom in μB.
Atoms (fractional coordinates):
Fe  0.5000  0.5856  0.1598  1.32
Fe  0.0000  0.3402  0.0856  1.32
P  0.5000  0.2823  0.2823  -0.03
P  0.0000  0.7823  0.2177  -0.03
P  0.5000  0.7177  0.7177  -0.03
P  0.0000  0.2177  0.7823  -0.03
Fe  0.5000  0.8402  0.4144  1.32
Fe  0.0000  0.9144  0.6598  1.32
Hf  0.0000  0.5000  0.5000  -0.09
Fe  0.5000  0.1598  0.5856  1.32
Fe  0.0000  0.0856  0.3402  1.32
Fe  0.0000  0.6598  0.9144  1.32
Fe  0.5000  0.4144  0.8402  1.32
Hf  0.5000  0.0000  0.0000  -0.09

Computed properties:
The calculated volume is 12.1 A^3/atom. As for the symmetry: No. 136.



2.
First-principles (GGA-PBE) data for an optimized crystal structure of HfFe3P, as listed in Alexandria via LeMat-Bulk.

a b c (Å): 4.0959 4.0959 4.0959
angles (deg): 90.00 90.00 90.00
Last column: magnetic moment on the atom in μB.
Atoms (fractional coordinates):
Fe  0.0000  0.5000  0.0000  0.45
P  0.0000  0.0000  0.0000  -0.03
Fe  0.5000  0.0000  0.0000  0.32
Fe  0.0000  0.0000  0.5000  0.63
Hf  0.5000  0.5000  0.5000  -0.17

Computed properties:
The calculated volume is 13.7 A^3/atom. The calculation puts the offset from the most stable computed form at 0.000 eV per atom. As for the symmetry: No. 221.



3.
First-principles (GGA-PBE) data for an optimized crystal structure of Hf2FeP, as listed in Alexandria via LeMat-Bulk.

a b c (Å): 6.9247 6.9247 5.7084
angles (deg): 52.66 52.66 90.00
Last column: magnetic moment on the atom in μB.
Atoms (fractional coordinates):
P  0.2500  0.7500  0.5000  0.02
P  0.5000  0.5000  0.0000  0.02
Hf  0.8750  0.8785  0.7500  -0.09
Hf  0.3750  0.3715  0.7500  -0.09
Hf  0.6285  0.1250  0.2500  -0.09
Fe  0.7500  0.2500  0.5000  1.36
Hf  0.1215  0.6250  0.2500  -0.09
Fe  0.0000  0.0000  0.0000  1.40

Computed properties:
The calculated volume is 17.6 A^3/atom. As for the symmetry: No. 122.



no.,VASP energy (eV/atom),calculated formation energy (eV/atom)
1,-8.4801,-0.68
2,-8.2294,-0.08
3,-8.5326,-0.09